No. 1
# PBE RbLa2TlRu, relaxed
data_RbLa2TlRu
_space_group_name_H-M_alt 'P 1'
_space_group_IT_number 1
_space_group_name_Hall 'P 1'
_cell_length_a 5.5270
_cell_length_b 5.5270
_cell_length_c 5.6237
_cell_angle_alpha 90.00
_cell_angle_beta 90.00
_cell_angle_gamma 90.00
loop_
_atom_site_label
_atom_site_type_symbol
_atom_site_fract_x
_atom_site_fract_y
_atom_site_fract_z
Rb1 Rb 0.0000 0.0000 0.0000
La1 La 0.0000 0.5000 0.5000
La2 La 0.5000 0.0000 0.5000
Tl1 Tl 0.5000 0.5000 0.0000
Ru1 Ru 0.5000 0.5000 0.5000
# - Energy: -22.7 eV per cell
# - SG: P4/mmm (123)

No. 2
# PBE Nd5PuPb5, relaxed
data_Nd5PuPb5
_space_group_name_H-M_alt 'P 1'
_space_group_IT_number 1
_space_group_name_Hall 'P 1'
_cell_length_a 7.9120
_cell_length_b 7.9120
_cell_length_c 8.9400
_cell_angle_alpha 106.59
_cell_angle_beta 106.59
_cell_angle_gamma 47.82
loop_
_atom_site_label
_atom_site_type_symbol
_atom_site_fract_x
_atom_site_fract_y
_atom_site_fract_z
Nd1 Nd 0.0000 0.0000 0.0000
Nd2 Nd 0.3313 0.3313 0.1643
Nd3 Nd 0.3342 0.3342 0.6718
Nd4 Nd 0.6658 0.6658 0.3282
Nd5 Nd 0.6687 0.6687 0.8357
Pu1 Pu 0.0000 0.0000 0.5000
Pb1 Pb 0.1624 0.1624 0.8305
Pb2 Pb 0.1628 0.1628 0.3349
Pb3 Pb 0.5000 0.5000 0.5000
Pb4 Pb 0.8372 0.8372 0.6651
Pb5 Pb 0.8376 0.8376 0.1695
# - Energy: -59.2 eV per cell
# - SG: C2/m (12)